Pr5Hg2Ge (PBE, relaxed); calculated formation energy = -425.0 meV/atom; spin magnetization = 0.00 μB/cell
1.0
6.869 0.000 0.000
0.000 13.127 0.000
0.000 0.000 5.319
Pr Hg Ge
10 4 2
Direct
0.000 0.000 0.000 Pr
0.144 0.399 0.500 Pr
0.160 0.715 0.000 Pr
0.340 0.215 0.000 Pr
0.356 0.899 0.500 Pr
0.500 0.500 0.000 Pr
0.644 0.101 0.500 Pr
0.660 0.785 0.000 Pr
0.840 0.285 0.000 Pr
0.856 0.601 0.500 Pr
0.100 0.149 0.500 Hg
0.400 0.649 0.500 Hg
0.600 0.351 0.500 Hg
0.900 0.851 0.500 Hg
0.000 0.500 0.000 Ge
0.500 0.000 0.000 Ge



ScTi2Br6 (PBE, relaxed); raw formation energy = -1104 meV per atom; spin magnetization = 5.92 μB/cell
1.0
6.249 -5.835 0.000
6.249 5.835 0.000
-0.757 0.000 6.453
Sc Ti Br
2 4 12
Direct
0.072 0.928 0.750 Sc
0.928 0.072 0.250 Sc
0.164 0.301 0.996 Ti
0.301 0.164 0.496 Ti
0.699 0.836 0.504 Ti
0.836 0.699 0.004 Ti
0.015 0.229 0.624 Br
0.118 0.625 0.878 Br
0.229 0.015 0.124 Br
0.290 0.431 0.338 Br
0.375 0.882 0.622 Br
0.431 0.290 0.838 Br
0.569 0.710 0.162 Br
0.625 0.118 0.378 Br
0.710 0.569 0.662 Br
0.771 0.985 0.876 Br
0.882 0.375 0.122 Br
0.985 0.771 0.376 Br



Tc2HgCl (PBE, relaxed); raw formation energy = 137 meV per atom; spin magnetization = 0.00 μB/cell
1.0
2.966 0.000 0.000
0.000 2.966 0.000
0.000 0.000 8.431
Tc Hg Cl
2 1 1
Direct
0.000 0.000 0.000 Tc
0.500 0.500 0.179 Tc
0.500 0.500 0.747 Hg
0.000 0.000 0.390 Cl



K3ErU3Se8 (PBE, relaxed); raw formation energy = -1369 meV per atom; spin magnetization = 8.00 μB/cell
1.0
4.175 2.410 7.837
-4.175 2.410 7.837
0.000 -4.821 7.837
K Er U Se
3 1 3 8
Direct
0.000 0.500 0.500 K
0.500 0.000 0.500 K
0.500 0.500 0.000 K
0.500 0.500 0.500 Er
0.000 0.000 0.500 U
0.000 0.500 0.000 U
0.500 0.000 0.000 U
0.236 0.236 0.236 Se
0.236 0.733 0.733 Se
0.267 0.267 0.764 Se
0.267 0.764 0.267 Se
0.733 0.236 0.733 Se
0.733 0.733 0.236 Se
0.764 0.267 0.267 Se
0.764 0.764 0.764 Se



| no. | raw total energy (eV for the cell shown) |
| --- | --- |
| 1 | -65.0 |
| 2 | -84.2 |
| 3 | -22.3 |
| 4 | -90.1 |